# SrIn2Ni2 PBE-GGA relaxed
# Energy of formation from the pure elements = -5.87 kJ/mol of atoms
data_SrIn2Ni2
_cell_length_a 7.945
_cell_length_b 7.945
_cell_length_c 3.109
_cell_angle_alpha 90.00
_cell_angle_beta 90.00
_cell_angle_gamma 90.00
_symmetry_space_group_name_H-M 'P 4/m b m'
_symmetry_Int_Tables_number 127
_symmetry_space_group_name_Hall '-P 4 2ab'
loop_
_atom_site_label
_atom_site_type_symbol
_atom_site_fract_x
_atom_site_fract_y
_atom_site_fract_z
Sr1 Sr 0.000 0.000 0.000
In1 In 0.146 0.354 0.500
Ni1 Ni 0.143 0.643 0.000

***

# TcTeIr2 PBE-GGA relaxed
# E_form (uncorrected) = 771 meV per atom
data_TcTeIr2
_cell_length_a 2.864
_cell_length_b 4.984
_cell_length_c 9.574
_cell_angle_alpha 90.00
_cell_angle_beta 90.00
_cell_angle_gamma 90.00
_symmetry_space_group_name_H-M 'C m m 2'
_symmetry_Int_Tables_number 35
loop_
_symmetry_equiv_pos_as_xyz
'x,y,z'
'-x,-y,z'
'-x,y,z'
'x,-y,z'
'x+1/2,y+1/2,z'
'-x+1/2,-y+1/2,z'
'-x+1/2,y+1/2,z'
'x+1/2,-y+1/2,z'
loop_
_atom_site_label
_atom_site_type_symbol
_atom_site_fract_x
_atom_site_fract_y
_atom_site_fract_z
Tc1 Tc 0.000 0.000 0.000
Te1 Te 0.000 0.500 0.270
Ir1 Ir 0.000 0.000 0.530
Ir2 Ir 0.000 0.500 0.773

***

E: -3.805 -7.036 (eV per atom)